# 1
Entry from Alexandria via LeMat-Bulk: Rb2HgN after structural relaxation (PBE).

Values from the calculation:
* polymorph energy (0 for the lowest one): 0 kJ/mol of formula units
* total energy: -2.262 eV per atom
* energy relative to the elements, uncorrected: 1.52 eV/f.u.

extended XYZ file:
```
8
Lattice="-6.182 6.182 2.176 6.182 -6.182 2.176 6.182 6.182 -2.176" Properties=species:S:1:pos:R:3 pbc="T T T"
Rb 0.341 3.091 0.544
Rb -3.091 5.841 1.632
Rb -0.341 9.273 0.544
Rb 3.091 6.523 1.632
Hg 6.182 0.000 1.088
Hg 0.000 0.000 2.176
N 0.000 0.000 0.000
N 0.000 6.182 1.088
```

=====

# 2
Entry from Alexandria via LeMat-Bulk: Sr3ReBi after structural relaxation (PBE).

Values from the calculation:
* polymorph energy (0 for the lowest one): 0 kJ/mol of formula units
* total energy: -3.771 eV per atom
* E_form: 0.504 eV per atom

extended XYZ file:
```
5
Lattice="5.712 0.000 0.000 0.000 5.712 0.000 0.000 0.000 5.712" Properties=species:S:1:pos:R:3 pbc="T T T"
Sr 0.000 0.000 2.856
Sr 0.000 2.856 0.000
Sr 2.856 0.000 0.000
Re 0.000 0.000 0.000
Bi 2.856 2.856 2.856
```

=====

# 3
Entry from Alexandria via LeMat-Bulk: Ti3SiAg after structural relaxation (PBE).

Values from the calculation:
* polymorph energy (0 for the lowest one): 361 kJ/mol of formula units
* total energy: -5.322 eV per atom
* energy relative to the elements, uncorrected: 5.35 eV/f.u.

extended XYZ file:
```
5
Lattice="4.782 0.000 0.000 0.000 4.782 0.000 0.000 0.000 4.782" Properties=species:S:1:pos:R:3 pbc="T T T"
Ti 0.000 0.000 2.391
Ti 0.000 2.391 0.000
Ti 2.391 0.000 0.000
Si 2.391 2.391 2.391
Ag 0.000 0.000 0.000
```

=====

# 4
Entry from Alexandria via LeMat-Bulk: KGeN after structural relaxation (PBE).

Values from the calculation:
* polymorph energy (0 for the lowest one): 19 kJ/mol of formula units
* total energy: -4.674 eV per atom
* energy relative to the elements, uncorrected: 0.02 eV/f.u.

extended XYZ file:
```
3
Lattice="1.605 0.927 5.861 -1.605 0.927 5.861 0.000 -1.853 5.861" Properties=species:S:1:pos:R:3 pbc="T T T"
K 0.000 0.000 0.000
Ge 0.000 0.000 8.786
N 0.000 0.000 3.845
```

=====

# 5
Entry from Alexandria via LeMat-Bulk: CaNb2Te2 after structural relaxation (PBE).

Values from the calculation:
* polymorph energy (0 for the lowest one): 174 kJ/mol of formula units
* total energy: -5.797 eV per atom
* energy relative to the elements, uncorrected: -0.56 eV/f.u.

extended XYZ file:
```
10
Lattice="8.110 0.000 0.000 0.000 8.110 0.000 0.000 0.000 3.524" Properties=species:S:1:pos:R:3 pbc="T T T"
Ca 0.000 0.000 0.000
Ca 4.055 4.055 0.000
Nb 1.002 3.053 1.762
Nb 3.053 7.109 1.762
Nb 5.057 1.002 1.762
Nb 7.109 5.057 1.762
Te 1.268 5.323 0.000
Te 2.787 1.268 0.000
Te 5.323 6.842 0.000
Te 6.842 2.787 0.000
```

=====

# 6
Entry from Alexandria via LeMat-Bulk: Th4Zn2In after structural relaxation (PBE).

Values from the calculation:
* total energy: -4.888 eV per atom
* E_form: 0.107 eV per atom

extended XYZ file:
```
7
Lattice="2.467 1.424 9.834 -2.467 1.424 9.834 0.000 -2.849 9.834" Properties=species:S:1:pos:R:3 pbc="T T T"
Th 0.000 0.000 3.373
Th 0.000 0.000 8.851
Th 0.000 0.000 20.650
Th 0.000 0.000 26.128
Zn 0.000 0.000 11.933
Zn 0.000 0.000 17.568
In 0.000 0.000 14.751
```

=====

# 7
Entry from Alexandria via LeMat-Bulk: LuNi4Os after structural relaxation (PBE).

Values from the calculation:
* total energy: -6.601 eV per atom
* E_form: -0.122 eV per atom

extended XYZ file:
```
6
Lattice="0.000 3.417 3.417 3.417 0.000 3.417 3.417 3.417 0.000" Properties=species:S:1:pos:R:3 pbc="T T T"
Lu 0.000 0.000 0.000
Ni 4.266 2.567 2.567
Ni 2.567 4.266 2.567
Ni 2.567 2.567 4.266
Ni 4.266 4.266 4.266
Os 1.708 1.708 1.708
```

=====

# 8
Entry from Alexandria via LeMat-Bulk: TlNiAg2 after structural relaxation (PBE).

Values from the calculation:
* polymorph energy (0 for the lowest one): 48 kJ/mol of formula units
* total energy: -3.133 eV per atom
* E_form: 0.329 eV per atom

extended XYZ file:
```
4
Lattice="0.000 3.292 3.292 3.292 0.000 3.292 3.292 3.292 0.000" Properties=species:S:1:pos:R:3 pbc="T T T"
Tl 0.000 0.000 0.000
Ni 3.292 3.292 3.292
Ag 1.646 1.646 1.646
Ag 4.939 4.939 4.939
```

=====

# 9
Entry from Alexandria via LeMat-Bulk: Cu2AuCl8 after structural relaxation (PBE).

Values from the calculation:
* total energy: -2.635 eV per atom
* energy relative to the elements, uncorrected: -2.74 eV/f.u.

extended XYZ file:
```
11
Lattice="6.759 -3.787 0.000 6.759 3.787 0.000 -0.347 0.000 6.273" Properties=species:S:1:pos:R:3 pbc="T T T"
Cu 2.180 0.000 2.673
Cu 10.991 0.000 3.599
Au 0.000 0.000 0.000
Cl 5.380 2.148 4.839
Cl 1.749 0.000 4.866
Cl 7.791 2.148 1.434
Cl 4.316 0.000 2.904
Cl 8.855 0.000 3.369
Cl 5.380 -2.148 4.839
Cl 11.422 0.000 1.407
Cl 7.791 -2.148 1.434
```

=====

# 10
Entry from Alexandria via LeMat-Bulk: MnFe2Rh after structural relaxation (PBE).

Values from the calculation:
* total energy: -8.346 eV per atom
* E_form: 0.016 eV per atom

extended XYZ file:
```
4
Lattice="2.565 -3.700 0.000 2.565 3.700 0.000 0.000 0.000 2.612" Properties=species:S:1:pos:R:3 pbc="T T T"
Mn 0.000 0.000 0.000
Fe 1.282 1.850 1.306
Fe 1.282 -1.850 1.306
Rh 2.565 0.000 0.000
```

=====

# 11
Entry from Alexandria via LeMat-Bulk: AcNd2Dy3 after structural relaxation (PBE).

Values from the calculation:
* total energy: -4.321 eV per atom
* E_form: 0.254 eV per atom

extended XYZ file:
```
12
Lattice="7.102 0.000 0.000 -3.551 6.150 0.000 0.000 0.000 9.848" Properties=species:S:1:pos:R:3 pbc="T T T"
Ac 0.000 4.100 4.408
Ac 3.551 2.050 5.440
Nd 0.000 0.000 0.000
Nd 0.000 0.000 4.924
Nd 0.000 4.100 0.875
Nd 3.551 2.050 8.973
Dy 0.000 2.253 7.630
Dy -1.600 5.024 7.630
Dy 1.951 1.126 2.218
Dy 1.600 5.024 7.630
Dy 5.151 1.126 2.218
Dy 3.551 3.898 2.218
```

=====

# 12
Entry from Alexandria via LeMat-Bulk: Na3OsPb3O8 after structural relaxation (PBE).

Values from the calculation:
* total energy: -5.634 eV per atom
* energy relative to the elements, uncorrected: -18.54 eV/f.u.

extended XYZ file:
```
15
Lattice="3.519 2.032 5.591 -3.519 2.032 5.591 0.000 -4.063 5.591" Properties=species:S:1:pos:R:3 pbc="T T T"
Na -1.759 -1.016 5.591
Na -1.759 1.016 11.182
Na 0.000 2.032 5.591
Os 0.000 0.000 8.386
Pb -3.519 0.000 8.386
Pb -1.759 1.016 2.795
Pb 1.759 1.016 2.795
O 0.000 0.000 4.173
O -1.402 -0.810 9.479
O 0.000 -1.619 7.294
O -1.402 0.810 7.294
O 1.402 -0.810 9.479
O 0.000 1.619 9.479
O 1.402 0.810 7.294
O 0.000 0.000 12.600
```